DFT (PBE) results for crystalline Pm2SmMgTl4 at its relaxed geometry.

```
8
Lattice="5.3384 0.0000 0.0000 2.6692 4.6232 0.0000 2.6692 1.5411 9.0925" Properties=species:S:1:pos:R:3 pbc="T T T"
Pm 2.6692 1.5411 2.4974
Tl 2.6692 1.5411 5.7324
Sm 0.0000 0.0000 0.0000
Tl 5.3384 3.0821 7.9596
Mg 5.3384 3.0822 4.5463
Pm 8.0077 4.6232 6.5951
Tl 5.3384 3.0822 1.1329
Tl 8.0077 4.6232 3.3601
```

Output
Calculated volume, Å³/atom: 28.05
Density of states at the Fermi level, states/eV per cell: 4.55
Formation enthalpy at 0 K, eV/f.u.: -2.586

=====

DFT (PBE) results for crystalline CeYTlRh at its relaxed geometry.

```
4
Lattice="-2.9440 3.1346 -2.8956 0.4994 -0.0105 -5.1602 -3.7620 -1.9843 -2.9643" Properties=species:S:1:pos:R:3 pbc="T T T"
Rh -3.1033 0.5699 -5.5101
Tl 0.0000 0.0000 0.0000
Y -4.6550 0.8549 -8.2651
Ce -1.5517 0.2850 -2.7550
```

Output
Calculated volume, Å³/atom: 24.63
Density of states at the Fermi level, states/eV per cell: 7.70
Formation enthalpy at 0 K, eV/f.u.: -1.502
Polymorph energy (0 for the lowest one), meV/atom: 162.7

=====

DFT (PBE) results for crystalline Pr6Nd2Sm3Mg at its relaxed geometry.

```
12
Lattice="-0.4204 3.4664 -5.2874 -5.2190 -1.3550 3.3279 3.3802 9.1925 7.0271" Properties=species:S:1:pos:R:3 pbc="T T T"
Pr -3.3950 3.8903 0.2861
Pr -1.3456 2.0171 2.6897
Pr 0.2397 3.6099 -0.1566
Nd -2.0168 1.8624 -2.4213
Mg 0.0000 0.0000 0.0000
Pr -0.9136 9.2869 2.3780
Pr 1.1358 7.4137 4.7815
Pr -2.4989 7.6940 5.2243
Sm 0.4703 7.2595 -0.3386
Nd -3.6226 0.2490 0.4618
Sm -1.1296 5.6520 2.5338
Sm -2.7295 4.0445 5.4062
```

Output
Calculated volume, Å³/atom: 34.37
Density of states at the Fermi level, states/eV per cell: 14.37
Formation enthalpy at 0 K, eV/f.u.: 0.141

=====

DFT (PBE) results for crystalline P2IrC2 at its relaxed geometry.

```
10
Lattice="4.2751 0.0000 0.0144 0.0000 4.9263 0.0000 -1.3658 0.0000 5.7749" Properties=species:S:1:pos:R:3 pbc="T T T"
C 3.8487 1.6928 1.0896
Ir 2.5204 0.0000 0.6498
P 0.2607 3.8317 2.6828
C 3.8487 3.2335 1.0896
P 0.2607 1.0946 2.6828
Ir 1.8374 2.4631 3.5372
C 3.1658 0.7704 3.9771
C 3.1658 4.1559 3.9771
P -0.4223 1.3686 5.5703
P -0.4223 3.5577 5.5703
```

Output
Calculated volume, Å³/atom: 12.17
Density of states at the Fermi level, states/eV per cell: 5.45
Formation enthalpy at 0 K, eV/f.u.: 2.876
Polymorph energy (0 for the lowest one), meV/atom: 211.5

=====

DFT (PBE) results for crystalline Tb4Er9Zn11 at its relaxed geometry.

```
24
Lattice="-1.9718 2.2832 -1.6289 -9.1249 -1.3289 9.1832 8.0116 9.5626 3.7058" Properties=species:S:1:pos:R:3 pbc="T T T"
Zn -0.0001 0.0002 -0.0001
Zn 2.2730 8.2970 8.8783
Zn -0.2359 1.7434 2.7287
Tb -0.2510 7.5898 7.3339
Zn -3.9796 4.3230 10.8768
Er -2.6948 1.0627 1.1432
Zn 2.8661 3.9108 2.0121
Tb 0.1251 4.8085 2.9801
Er 0.4720 3.0754 0.1310
Er -5.7254 3.6225 8.4004
Tb -2.8344 2.9275 3.9260
Er -0.3906 9.4545 10.1168
Zn -3.3865 -0.0631 4.0107
Tb -3.2105 5.7088 8.2798
Zn 4.9755 7.6330 4.6762
Er -1.5410 5.2566 5.6314
Er -3.5574 7.4418 11.1290
Zn -6.0890 0.6008 8.2127
Zn -4.7729 4.9731 5.5334
Zn -0.2835 7.8264 4.0984
Er 2.3856 8.7776 5.8078
Zn -0.8778 6.4906 10.1601
Er 2.6403 6.8944 2.8598
Er -5.4707 1.7393 5.4523
```

Output
Calculated volume, Å³/atom: 23.03
Density of states at the Fermi level, states/eV per cell: 24.44
Formation enthalpy at 0 K, eV/f.u.: -5.892

=====

DFT (PBE) results for crystalline Na4H8PdPt at its relaxed geometry.

```
14
Lattice="2.6209 4.2093 -0.0092 -2.6209 4.2093 -0.0092 0.0000 1.9080 8.1963" Properties=species:S:1:pos:R:3 pbc="T T T"
H -1.4461 6.8408 7.2646
Na 0.0000 2.2303 5.1234
Pd 0.0000 5.1633 4.0890
Na 0.0000 5.5147 1.0097
Pt 0.0000 0.0000 0.0000
H -1.1702 4.4300 5.0040
H 1.4461 3.4859 0.9133
Na 0.0000 8.0964 3.0545
H -1.4461 3.4859 0.9133
H 1.1702 4.4300 5.0040
H -1.1702 5.8966 3.1739
H 1.1702 5.8966 3.1739
Na 0.0000 4.8119 7.1683
H 1.4461 6.8408 7.2646
```

Output
Calculated volume, Å³/atom: 12.92
Density of states at the Fermi level, states/eV per cell: 0.00
Uncorrected energy, eV for the cell shown: -47.9

=====

DFT (PBE) results for crystalline Be2MoPb at its relaxed geometry.

```
4
Lattice="2.9244 0.0000 0.0000 0.0000 3.3552 0.0000 0.0000 0.0000 6.2384" Properties=species:S:1:pos:R:3 pbc="T T T"
Be 1.4622 1.6776 1.4263
Pb 1.4622 1.6776 4.7892
Be 0.0000 0.0000 0.4340
Mo 0.0000 0.0000 2.7081
```

Output
Calculated volume, Å³/atom: 15.30
Density of states at the Fermi level, states/eV per cell: 2.67
Formation enthalpy at 0 K, eV/f.u.: 2.402

=====

DFT (PBE) results for crystalline TiAuC2 at its relaxed geometry.

```
4
Lattice="3.8360 -0.8553 0.5698 1.1300 -3.7620 0.5849 2.0455 -1.9189 -2.8116" Properties=species:S:1:pos:R:3 pbc="T T T"
C 5.2587 -4.9021 -1.2427
Ti 0.0000 0.0000 0.0000
C 1.7529 -1.6340 -0.4142
Au 3.5058 -3.2681 -0.8285
```

Output
Calculated volume, Å³/atom: 11.07
Density of states at the Fermi level, states/eV per cell: 3.28
Formation enthalpy at 0 K, eV/f.u.: 5.500
Polymorph energy (0 for the lowest one), meV/atom: 420.5

=====

DFT (PBE) results for crystalline MnSiN2 at its relaxed geometry.

```
4
Lattice="-5.0567 2.1195 2.2406 -3.6468 1.3392 4.4710 -3.1395 3.7802 3.3070" Properties=species:S:1:pos:R:3 pbc="T T T"
N -10.5719 6.4620 8.9434
Mn 0.0000 0.0000 0.0000
Si -5.9215 3.6195 5.0093
N -1.2710 0.7769 1.0753
```

Output
Calculated volume, Å³/atom: 9.35
Density of states at the Fermi level, states/eV per cell: 3.04
Uncorrected formation energy, eV per atom: -0.1114

=====

DFT (PBE) results for crystalline La2CrRu at its relaxed geometry.

```
4
Lattice="3.7220 0.0000 0.0000 0.0000 3.7303 0.0000 0.0000 0.0000 7.3091" Properties=species:S:1:pos:R:3 pbc="T T T"
Cr 1.8610 1.8651 4.8321
La 1.8610 1.8651 2.5641
Ru 0.0000 0.0000 4.2358
La 0.0000 0.0000 6.6406
```

Output
Calculated volume, Å³/atom: 25.37
Density of states at the Fermi level, states/eV per cell: 2.78
Formation enthalpy at 0 K, eV/f.u.: 1.361
Polymorph energy (0 for the lowest one), meV/atom: 155.4

=====

DFT (PBE) results for crystalline Pr2ThSn3Pt4 at its relaxed geometry.

```
10
Lattice="4.6878 0.0000 0.0000 0.0000 4.6878 0.0000 0.0000 0.0000 11.1595" Properties=species:S:1:pos:R:3 pbc="T T T"
Sn 0.0000 2.3439 1.3662
Pr 0.0000 2.3439 8.8216
Sn 0.0000 0.0000 5.5798
Pt 0.0000 2.3439 3.9781
Pt 0.0000 0.0000 0.0000
Sn 2.3439 0.0000 9.7933
Th 2.3439 2.3439 5.5798
Pr 2.3439 0.0000 2.3380
Pt 2.3439 0.0000 7.1815
Pt 2.3439 2.3439 0.0000
```

Output
Calculated volume, Å³/atom: 24.52
Density of states at the Fermi level, states/eV per cell: 8.16
Formation enthalpy at 0 K, eV/f.u.: -8.836

=====

DFT (PBE) results for crystalline Ac2ErHgO6 at its relaxed geometry.

```
20
Lattice="5.8737 0.0000 -0.1331 0.0000 6.0294 0.0000 -0.1290 0.0000 9.4702" Properties=species:S:1:pos:R:3 pbc="T T T"
Er 2.9368 0.0000 -0.0666
Er -0.0645 3.0147 4.7351
O 5.0802 3.4301 2.5494
Ac 2.9591 3.3146 6.9613
O 4.5446 4.7356 8.7893
O 1.1863 1.3177 3.8909
O 0.6644 2.5993 6.7877
O 4.5583 4.7117 5.4461
O 1.2001 1.2938 0.5477
O 4.0724 1.7209 5.2162
O 1.6722 4.3085 4.1208
O 3.6658 0.4154 1.9860
Hg 0.0000 3.0147 0.0000
O 4.0587 1.6970 8.5594
Ac 2.7855 2.7148 2.3757
Hg 2.8723 0.0000 4.6685
Ac 0.0868 5.7295 2.2928
Ac 5.6579 0.2999 7.0442
O 2.0788 5.6140 7.3510
O 1.6860 4.3324 0.7776
```

Output
Calculated volume, Å³/atom: 16.76
Density of states at the Fermi level, states/eV per cell: 3.79
Uncorrected formation energy, eV per atom: -2.5633

=====

DFT (PBE) results for crystalline LiCa2NiN2 at its relaxed geometry.

```
6
Lattice="-3.1007 0.3359 -1.6337 -1.6493 -2.3874 2.6394 -1.4632 5.2813 3.8628" Properties=species:S:1:pos:R:3 pbc="T T T"
Ca -1.0943 3.9499 2.8890
Ni -2.3750 -1.0258 0.5028
Ca -0.3689 1.3314 0.9738
N -0.8246 -1.1937 1.3197
Li -3.1066 1.6149 2.4342
N -2.2819 2.8086 1.1146
```

Output
Calculated volume, Å³/atom: 15.43
Density of states at the Fermi level, states/eV per cell: 1.15
Polymorph energy (0 for the lowest one), meV/atom: 0.0
Uncorrected formation energy, eV per atom: -0.6762

=====

DFT (PBE) results for crystalline TlOs2Br at its relaxed geometry.

```
8
Lattice="-2.8988 0.2476 5.4639 -0.5532 -6.1654 -0.0141 2.6896 -3.3605 5.0857" Properties=species:S:1:pos:R:3 pbc="T T T"
Br -1.7260 -2.9589 2.7249
Tl 0.0000 0.0000 0.0000
Br 0.2052 -6.2424 3.8983
Os -1.0661 -1.4682 4.4161
Tl -0.9676 -3.0359 6.6372
Os -0.9761 -7.3955 8.5835
Os -0.1781 -4.6504 2.2141
Os 0.6955 -5.0425 5.8573
```

Output
Calculated volume, Å³/atom: 24.06
Density of states at the Fermi level, states/eV per cell: 7.37
Polymorph energy (0 for the lowest one), meV/atom: 1402.6
Uncorrected formation energy, eV per atom: 1.9437

=====

DFT (PBE) results for crystalline Pr3SmAl at its relaxed geometry.

```
5
Lattice="-0.1001 -0.5478 -5.2788 8.9860 -3.5121 0.1940 -5.7063 -1.3292 0.2462" Properties=species:S:1:pos:R:3 pbc="T T T"
Pr 6.9199 -3.8687 0.2702
Pr 1.2725 -1.6614 0.1483
Sm 3.4565 -4.5384 -2.2634
Al 4.0499 -2.8828 0.2223
Pr -1.1139 -2.9793 -2.3385
```

Output
Calculated volume, Å³/atom: 34.14
Density of states at the Fermi level, states/eV per cell: 5.64
Formation enthalpy at 0 K, eV/f.u.: 0.393
Polymorph energy (0 for the lowest one), meV/atom: 183.0

=====

DFT (PBE) results for crystalline Al2AsCl at its relaxed geometry.

```
4
Lattice="5.9851 -0.0520 -0.0380 1.3381 5.8338 -0.0380 1.3608 1.0743 2.3083" Properties=species:S:1:pos:R:3 pbc="T T T"
Al 0.0000 0.0000 0.0000
As 3.6729 0.5112 1.1352
Al 3.6616 2.8909 -0.0380
Cl 1.3494 3.4541 1.1352
```

Output
Calculated volume, Å³/atom: 20.31
Density of states at the Fermi level, states/eV per cell: 1.55
Polymorph energy (0 for the lowest one), meV/atom: 157.3
Uncorrected formation energy, eV per atom: -0.1657

=====

DFT (PBE) results for crystalline MoOs2Cl at its relaxed geometry.

```
4
Lattice="-2.3294 -4.1660 1.9873 -0.9694 -5.0689 -0.3122 3.5192 -0.8710 2.4233" Properties=species:S:1:pos:R:3 pbc="T T T"
Cl 0.1653 -7.5795 3.0739
Mo 0.0551 -2.5265 1.0246
Os -0.0489 -5.3370 2.0666
Os -3.1396 -8.9509 1.6577
```

Output
Calculated volume, Å³/atom: 15.29
Density of states at the Fermi level, states/eV per cell: 3.83
Polymorph energy (0 for the lowest one), meV/atom: 156.5
Uncorrected formation energy, eV per atom: 0.6286

=====

DFT (PBE) results for crystalline Cu5W at its relaxed geometry.

```
6
Lattice="1.9248 -5.3892 0.0000 1.9248 5.3892 0.0000 0.0000 0.0000 3.6889" Properties=species:S:1:pos:R:3 pbc="T T T"
Cu 1.9248 -1.8107 0.0000
W 0.0000 0.0000 0.0000
Cu 1.9248 -3.5525 1.8444
Cu 1.9248 3.5525 1.8444
Cu 1.9248 0.0000 1.8444
Cu 1.9248 1.8107 0.0000
```

Output
Calculated volume, Å³/atom: 12.76
Density of states at the Fermi level, states/eV per cell: 3.75
Formation enthalpy at 0 K, eV/f.u.: 1.900
Polymorph energy (0 for the lowest one), meV/atom: 185.1

=====

DFT (PBE) results for crystalline TcPOs2 at its relaxed geometry.

```
4
Lattice="-0.4782 2.2607 -1.5601 -1.3562 -2.3598 -0.6044 -6.2120 2.2481 5.1618" Properties=species:S:1:pos:R:3 pbc="T T T"
P -3.1065 1.1242 2.5813
Tc -2.6264 0.5690 0.3380
Os -0.0124 0.0045 0.0103
Os -5.4071 1.5753 2.6486
```

Output
Calculated volume, Å³/atom: 14.28
Density of states at the Fermi level, states/eV per cell: 5.26
Formation enthalpy at 0 K, eV/f.u.: 1.984

=====

DFT (PBE) results for crystalline NdCu2Pd4 at its relaxed geometry.

```
7
Lattice="-0.6598 2.3043 4.6393 -5.0402 1.0944 1.6995 -0.6557 -3.1032 4.4080" Properties=species:S:1:pos:R:3 pbc="T T T"
Cu -3.0110 -0.4339 4.2017
Pd -0.8677 -0.2429 5.8872
Pd -5.4879 0.5386 4.8595
Pd -2.8757 -1.9623 6.4732
Cu -3.3447 0.7295 6.5450
Nd -0.6598 2.3043 4.6393
Pd -3.4799 2.2579 4.2735
```

Output
Calculated volume, Å³/atom: 16.84
Density of states at the Fermi level, states/eV per cell: 2.71
Formation enthalpy at 0 K, eV/f.u.: -2.905
Polymorph energy (0 for the lowest one), meV/atom: 0.0

=====

Number 1: theoretical density 9.5 g cm⁻³. Number 2: theoretical density 9.0 g cm⁻³. Number 3: theoretical density 6.5 g cm⁻³. Number 4: theoretical density 7.6 g cm⁻³. Number 5: theoretical density 8.6 g cm⁻³. Number 6: theoretical density 3.7 g cm⁻³. Number 7: theoretical density 8.7 g cm⁻³. Number 8: theoretical density 10.1 g cm⁻³. Number 9: theoretical density 4.9 g cm⁻³. Number 10: theoretical density 7.1 g cm⁻³. Number 11: theoretical density 11.2 g cm⁻³. Number 12: theoretical density 9.1 g cm⁻³. Number 13: theoretical density 3.1 g cm⁻³. Number 14: theoretical density 11.5 g cm⁻³. Number 15: theoretical density 5.8 g cm⁻³. Number 16: theoretical density 3.4 g cm⁻³. Number 17: theoretical density 13.9 g cm⁻³. Number 18: theoretical density 10.9 g cm⁻³. Number 19: theoretical density 14.8 g cm⁻³. Number 20: theoretical density 9.8 g cm⁻³.